Below is crystalline SnPW2F at its relaxed geometry, with properties calculated at the GGA+U level.

Lattice parameters (Å, degrees): 4.607 5.608 4.607 90.00 90.00 90.00
Each line ends with the local moment (μB).
Fractional coordinates of all 5 atoms:
1 P 0.000 0.000 0.000  -0.13
2 W 0.000 0.000 0.500  1.96
3 W 0.500 0.000 0.000  1.68
4 F 0.500 0.500 0.500  0.03
5 Sn 0.000 0.500 0.000  -0.10

Calculated values
The spin magnetization comes out at 3.8 Bohr magnetons per cell. As for the space-group type: P4/mmm, No. 123. The calculation puts the calculated total energy at -4.1337 eV per atom. For the excess energy over the best structure of this formula in the dataset, the calculation gives 5.7 meV per atom. The calculation puts the density at 7482 kg/m3.